1.
The following is a DFT calculation (PBEsol) of a relaxed structure of Al2BiMo.

Cell: 7.753 7.753 5.494 Å, 90.00 90.00 90.00°
Space group I-42d (No. 122)
Inequivalent atoms, fractional coordinates:
Al  0.210  0.750  0.125 x8
Bi  0.000  0.000  0.500 x4
Mo  0.000  0.000  0.000 x4

Summary:
Energy of formation ... 0.7013 eV/atom
N(E_F) ... 0.97 states/eV per atom

---

2.
The following is a DFT calculation (PBEsol) of a relaxed structure of AlBi2MoPb.

Cell: 5.822 5.822 5.082 Å, 90.00 90.00 90.00°
Space group P4/mmm (No. 123)
Inequivalent atoms, fractional coordinates:
Al  0.000  0.000  0.000 x1
Bi  0.000  0.500  0.500 x2
Mo  0.500  0.500  0.000 x1
Pb  0.000  0.000  0.500 x1

Summary:
Energy of formation ... 1.6832 eV/atom
N(E_F) ... 0.67 states/eV per atom

---

3.
The following is a DFT calculation (PBEsol) of a relaxed structure of AlBi2PbN.

Cell: 5.713 5.713 3.596 Å, 90.00 90.00 90.00°
Space group P4/mmm (No. 123)
Inequivalent atoms, fractional coordinates:
Al  0.000  0.000  0.000 x1
Bi  0.000  0.500  0.500 x2
Pb  0.500  0.500  0.000 x1
N  0.000  0.000  0.500 x1

Summary:
Energy relative to the elements, uncorrected ... 0.131 eV per atom
N(E_F) ... 0.43 states/eV per atom

---

4.
The following is a DFT calculation (PBEsol) of a relaxed structure of RbAlBi2N.

Cell: 6.083 6.083 4.133 Å, 90.00 90.00 90.00°
Space group P4/mmm (No. 123)
Inequivalent atoms, fractional coordinates:
Rb  0.000  0.000  0.000 x1
Al  0.500  0.500  0.500 x1
Bi  0.000  0.500  0.000 x2
N  0.000  0.000  0.500 x1

Summary:
Energy relative to the elements, uncorrected ... 1.858 eV per atom
N(E_F) ... 1.02 states/eV per atom

---

5.
The following is a DFT calculation (PBEsol) of a relaxed structure of AlReBi2N.

Cell: 5.343 5.343 4.653 Å, 90.00 90.00 90.00°
Space group P4/mmm (No. 123)
Inequivalent atoms, fractional coordinates:
Al  0.000  0.000  0.000 x1
Re  0.000  0.000  0.500 x1
Bi  0.000  0.500  0.000 x2
N  0.500  0.500  0.500 x1

Summary:
Energy relative to the elements, uncorrected ... 2.290 eV per atom
N(E_F) ... 0.68 states/eV per atom

---

6.
The following is a DFT calculation (PBEsol) of a relaxed structure of AlBiSeN2.

Cell: 3.926 3.926 5.041 Å, 90.00 90.00 90.00°
Space group P4/mmm (No. 123)
Inequivalent atoms, fractional coordinates:
Al  0.000  0.000  0.000 x1
Bi  0.500  0.500  0.500 x1
Se  0.000  0.000  0.500 x1
N  0.000  0.500  0.000 x2

Summary:
Energy relative to the elements, uncorrected ... 0.527 eV per atom
N(E_F) ... 0.71 states/eV per atom

---

7.
The following is a DFT calculation (PBEsol) of a relaxed structure of NaAlBi2.

Cell: 8.348 8.348 6.534 Å, 90.00 90.00 90.00°
Space group I-42d (No. 122)
Inequivalent atoms, fractional coordinates:
Na  0.000  0.000  0.000 x4
Al  0.000  0.000  0.500 x4
Bi  0.205  0.750  0.625 x8

Summary:
Energy of formation ... -0.0554 eV/atom
N(E_F) ... 0.14 states/eV per atom

---

8.
The following is a DFT calculation (PBEsol) of a relaxed structure of Na2AlBiO.

Cell: 5.948 5.948 5.343 Å, 90.00 90.00 90.00°
Space group P4/mmm (No. 123)
Inequivalent atoms, fractional coordinates:
Na  0.000  0.500  0.000 x2
Al  0.000  0.000  0.500 x1
Bi  0.000  0.000  0.000 x1
O  0.500  0.500  0.500 x1

Summary:
Energy relative to the elements, uncorrected ... 0.516 eV per atom
N(E_F) ... 1.69 states/eV per atom

---

9.
The following is a DFT calculation (PBEsol) of a relaxed structure of NaScAlBi2.

Cell: 5.484 5.484 5.778 Å, 90.00 90.00 90.00°
Space group P4/mmm (No. 123)
Inequivalent atoms, fractional coordinates:
Na  0.000  0.000  0.000 x1
Sc  0.000  0.000  0.500 x1
Al  0.500  0.500  0.000 x1
Bi  0.000  0.500  0.500 x2

Summary:
Energy of formation ... 0.4542 eV/atom
N(E_F) ... 0.71 states/eV per atom

---

10.
The following is a DFT calculation (PBEsol) of a relaxed structure of Na2ScAlBi.

Cell: 5.596 5.596 5.553 Å, 90.00 90.00 90.00°
Space group P4/mmm (No. 123)
Inequivalent atoms, fractional coordinates:
Na  0.000  0.500  0.000 x2
Sc  0.000  0.000  0.500 x1
Al  0.500  0.500  0.500 x1
Bi  0.000  0.000  0.000 x1

Summary:
Energy of formation ... 0.4026 eV/atom
N(E_F) ... 0.81 states/eV per atom

---

11.
The following is a DFT calculation (PBEsol) of a relaxed structure of NbAlBiSb2.

Cell: 5.185 5.185 4.958 Å, 90.00 90.00 90.00°
Space group P4/mmm (No. 123)
Inequivalent atoms, fractional coordinates:
Nb  0.000  0.000  0.000 x1
Al  0.000  0.000  0.500 x1
Bi  0.500  0.500  0.000 x1
Sb  0.000  0.500  0.500 x2

Summary:
Energy relative to the elements, uncorrected ... 0.866 eV per atom
N(E_F) ... 0.89 states/eV per atom

---

12.
The following is a DFT calculation (PBEsol) of a relaxed structure of AlBi12O20.

Cell: 10.002 10.002 10.002 Å, 90.00 90.00 90.00°
Space group I23 (No. 197)
Inequivalent atoms, fractional coordinates:
Al  0.000  0.000  0.000 x2
Bi  0.008  0.317  0.827 x24
O  0.013  0.241  0.369 x24
O  0.103  0.103  0.103 x8
O  0.193  0.193  0.807 x8

Summary:
Energy relative to the elements, uncorrected ... -1.330 eV per atom
N(E_F) ... 0.50 states/eV per atom